This record from Alexandria describes an optimized crystal structure of Co2Ag2AsO6. The functional is PBE+U.

Summary:
The crystal system is monoclinic. As for the symmetry: C2/m. Its uncorrected energy is -5.348 eV/atom. As for the total magnetic moment: 1.0 μB/cell.

The structure in POSCAR format:
```
Co2Ag2AsO6
1.0
4.991 -0.050 0.587
-2.510 4.314 0.587
-0.279 -0.479 6.315
Co Ag As O
2 2 1 6
direct
0.335 0.665 0.500 Co
0.665 0.335 0.500 Co
0.834 0.166 0.000 Ag
0.166 0.834 0.000 Ag
0.000 0.000 0.500 As
0.654 0.654 0.652 O
0.962 0.287 0.661 O
0.346 0.346 0.348 O
0.287 0.962 0.661 O
0.038 0.713 0.339 O
0.713 0.038 0.339 O
```